InHSN2 | PBE | optimized geometry

Geometry as extended XYZ:
```
5
Lattice="4.331 0.000 0.000 0.000 4.331 0.000 0.000 0.000 5.379" Properties=species:S:1:pos:R:3 pbc="T T T"
N 0.000 2.166 0.000
N 2.166 0.000 0.000
S 0.000 0.000 2.689
H 2.166 2.166 2.689
In 0.000 0.000 0.000
```

Calculated values
The space group is P4/mmm.

***

InHSeN2 | PBE | optimized geometry

Geometry as extended XYZ:
```
5
Lattice="-0.801 0.405 4.185 -3.997 -1.395 -0.631 1.016 -3.135 0.498" Properties=species:S:1:pos:R:3 pbc="T T T"
H 0.000 0.000 0.000
N -0.401 0.202 2.092
Se 0.508 -1.568 0.249
N -1.998 -0.698 -0.315
In -1.891 -2.063 2.026
```

Calculated values
The space group is P4/mmm.

***

InHSeN2 | PBE | optimized geometry

Geometry as extended XYZ:
```
5
Lattice="-3.441 -1.927 -1.611 2.498 -2.916 -1.845 -0.366 -3.319 4.750" Properties=species:S:1:pos:R:3 pbc="T T T"
N 1.249 -1.458 -0.923
N -1.720 -0.964 -0.806
Se -0.183 -1.659 2.375
In 0.000 0.000 0.000
H -0.654 -4.081 0.647
```

Calculated values
The space group is P4/mmm.

***

Sm6In2HN | PBE | optimized geometry

Geometry as extended XYZ:
```
20
Lattice="-6.512 -0.213 2.583 -2.517 -1.149 -6.440 0.874 -9.762 1.400" Properties=species:S:1:pos:R:3 pbc="T T T"
N -3.448 -5.274 0.383
Sm -2.475 -5.502 -1.814
H -3.886 -0.394 -0.321
N -1.888 -0.862 -4.831
Sm -7.428 -1.303 -4.445
Sm -1.250 -4.943 1.322
Sm -1.674 -3.247 -4.489
Sm -2.861 -0.634 -2.635
In -4.925 -3.409 -3.188
In -0.411 -2.728 -1.260
Sm -1.227 -8.239 -3.772
H -1.450 -5.742 -4.127
Sm -5.646 -5.606 -0.556
Sm -3.662 -2.890 0.040
Sm -4.087 -1.194 -5.771
In -4.488 -8.290 -2.488
Sm -4.420 -5.046 2.580
Sm -3.234 -7.659 0.725
Sm -6.202 -0.743 -1.309
In 0.026 -7.609 -0.560
```

Calculated values
The space group is Pmmn.

***

TaIn2HN | PBE | optimized geometry

Geometry as extended XYZ:
```
5
Lattice="-3.778 -0.233 4.151 3.910 -2.105 3.440 0.995 3.663 1.111" Properties=species:S:1:pos:R:3 pbc="T T T"
H 0.563 0.663 4.351
In 1.955 -1.052 1.720
In -1.889 -0.116 2.075
Ta 0.000 0.000 0.000
N 0.497 1.832 0.555
```

Calculated values
The space group is P4/mmm.

***

Zr6In2HN | PBE | optimized geometry

Geometry as extended XYZ:
```
20
Lattice="6.397 0.000 0.000 0.000 6.397 0.000 0.000 0.000 9.035" Properties=species:S:1:pos:R:3 pbc="T T T"
In 0.000 1.599 6.776
Zr 1.616 3.181 0.000
In 0.000 1.599 2.259
H 0.000 4.797 4.517
Zr 0.000 4.798 6.748
Zr 3.198 1.599 6.804
Zr 4.780 0.018 0.000
In 3.198 4.798 6.777
H 3.198 1.600 0.000
Zr 1.582 3.215 4.517
Zr 3.198 1.599 2.231
N 3.198 1.599 4.517
Zr 1.616 0.018 0.000
Zr 0.000 4.798 2.287
Zr 4.780 3.181 0.000
Zr 1.582 6.379 4.517
Zr 4.814 6.379 4.517
Zr 4.814 3.215 4.517
In 3.198 4.798 2.258
N 0.000 4.798 0.000
```

Calculated values
The space group is I4/mmm.

***

| no. | energy (eV per cell) |
| --- | --- |
| 1 | -16.630 |
| 2 | -17.631 |
| 3 | -16.450 |
| 4 | -103.750 |
| 5 | -25.394 |
| 6 | -149.121 |